This record from the Alexandria database describes a geometry-optimized MnRhN2 structure. The functional is GGA-PBE.

For the density of states at the Fermi level, the calculation gives 3.3 states/eV per cell. The energy above the most stable polymorph in this dataset is 14.8 kJ/mol of atoms. As for the total magnetic moment: 0.01 μB/f.u. Its formation energy without anion corrections is 0.167 eV per atom. For the final energy, the calculation gives -8.13 eV/atom.

abc: 6.470 6.470 6.470
angles: 23.95 23.95 23.95
Element x y z (fractional)
Mn: 0.500 0.500 0.500
Rh: 0.000 0.000 0.000
N: 0.896 0.896 0.896
N: 0.104 0.104 0.104

This record from the Alexandria database describes a geometry-optimized MnRh3N structure. The functional is GGA-PBE.

For the density of states at the Fermi level, the calculation gives 7.4 states/eV per cell. The energy above the most stable polymorph in this dataset is 193.0 kJ/mol of atoms. As for the total magnetic moment: 2.96 μB/f.u. Its formation energy without anion corrections is 2.099 eV per atom. For the final energy, the calculation gives -5.81 eV/atom.

abc: 4.440 4.440 4.440
angles: 90.00 90.00 90.00
Element x y z (fractional)
Mn: 0.000 0.000 0.000
Rh: 0.000 0.500 0.000
Rh: 0.000 0.000 0.500
Rh: 0.500 0.000 0.000
N: 0.500 0.500 0.500

This record from the Alexandria database describes a geometry-optimized MnRhN2 structure. The functional is GGA-PBE.

For the density of states at the Fermi level, the calculation gives 4.8 states/eV per cell. The energy above the most stable polymorph in this dataset is 93.2 kJ/mol of atoms. As for the total magnetic moment: 0.00 μB/f.u. Its formation energy without anion corrections is 0.980 eV per atom. For the final energy, the calculation gives -7.31 eV/atom.

abc: 3.693 3.693 3.693
angles: 60.00 60.00 60.00
Element x y z (fractional)
Mn: 0.000 0.000 0.000
Rh: 0.500 0.500 0.500
N: 0.250 0.250 0.250
N: 0.750 0.750 0.750

This record from the Alexandria database describes a geometry-optimized Mn3RhN structure. The functional is GGA-PBE.

For the density of states at the Fermi level, the calculation gives 5.0 states/eV per cell. As for the total magnetic moment: 12.30 μB/f.u. Its formation energy without anion corrections is 1.828 eV per atom. For the final energy, the calculation gives -6.81 eV/atom.

abc: 4.821 4.821 4.821
angles: 90.00 90.00 90.00
Element x y z (fractional)
Mn: 0.000 0.500 0.000
Mn: 0.000 0.000 0.500
Mn: 0.500 0.000 0.000
Rh: 0.000 0.000 0.000
N: 0.500 0.500 0.500

This record from the Alexandria database describes a geometry-optimized MnRhN2 structure. The functional is GGA-PBE.

For the density of states at the Fermi level, the calculation gives 5.1 states/eV per cell. The energy above the most stable polymorph in this dataset is 0.0 kJ/mol of atoms. As for the total magnetic moment: 0.00 μB/f.u. Its formation energy without anion corrections is 0.014 eV per atom. For the final energy, the calculation gives -8.28 eV/atom.

abc: 4.470 4.470 5.387
angles: 65.49 65.49 90.00
Element x y z (fractional)
Mn: 0.500 0.500 0.000
Mn: 0.250 0.750 0.500
Rh: 0.000 0.000 0.000
Rh: 0.750 0.250 0.500
N: 0.580 0.125 0.250
N: 0.170 0.625 0.250
N: 0.375 0.420 0.750
N: 0.875 0.830 0.750

This record from the Alexandria database describes a geometry-optimized Mn3RhN structure. The functional is GGA-PBE.

For the density of states at the Fermi level, the calculation gives 6.1 states/eV per cell. As for the total magnetic moment: 0.00 μB/f.u. Its formation energy without anion corrections is -0.124 eV per atom. For the final energy, the calculation gives -8.76 eV/atom.

abc: 3.761 3.761 3.761
angles: 90.00 90.00 90.00
Element x y z (fractional)
Mn: 0.000 0.500 0.000
Mn: 0.000 0.000 0.500
Mn: 0.500 0.000 0.000
Rh: 0.500 0.500 0.500
N: 0.000 0.000 0.000

This record from the Alexandria database describes a geometry-optimized MnRh3N structure. The functional is GGA-PBE.

For the density of states at the Fermi level, the calculation gives 4.2 states/eV per cell. The energy above the most stable polymorph in this dataset is 0.0 kJ/mol of atoms. As for the total magnetic moment: 5.25 μB/f.u. Its formation energy without anion corrections is 0.100 eV per atom. For the final energy, the calculation gives -7.81 eV/atom.

abc: 4.067 4.067 4.067
angles: 90.00 90.00 90.00
Element x y z (fractional)
Mn: 0.500 0.500 0.500
Rh: 0.000 0.500 0.000
Rh: 0.000 0.000 0.500
Rh: 0.500 0.000 0.000
N: 0.000 0.000 0.000

This record from the Alexandria database describes a geometry-optimized MnRh2N2 structure. The functional is GGA-PBE.

For the density of states at the Fermi level, the calculation gives 6.1 states/eV per cell. The energy above the most stable polymorph in this dataset is 0.0 kJ/mol of atoms. As for the total magnetic moment: 3.21 μB/f.u. Its formation energy without anion corrections is 1.041 eV per atom. For the final energy, the calculation gives -7.06 eV/atom.

abc: 6.590 6.590 2.817
angles: 90.00 90.00 90.00
Element x y z (fractional)
Mn: 0.000 0.000 0.000
Mn: 0.500 0.500 0.000
Rh: 0.356 0.856 0.000
Rh: 0.856 0.644 0.000
Rh: 0.644 0.144 0.000
Rh: 0.144 0.356 0.000
N: 0.207 0.707 0.500
N: 0.707 0.793 0.500
N: 0.793 0.293 0.500
N: 0.293 0.207 0.500